Ca2ZrP2 | the Alexandria database | PBE-GGA | optimized geometry; DFT formation energy = -0.100 eV/atom; N(E_F) = 0.09 states/eV/cell; energy above the lowest structure with this stoichiometry = 0.852 eV per atom; SG = I4/mmm; VASP energy = -23.9 eV for the cell shown
1.0
5.185 0.000 0.000
0.000 5.185 0.000
2.592 2.592 4.461
P Ca Zr
2 2 1
Cartesian
5.185 2.592 2.230
2.592 5.185 2.230
5.185 5.185 3.018
2.592 2.592 1.443
0.000 0.000 0.000